1.
{"formula": "SrCo2W", "functional": "PBEsol", "state": "relaxed", "dos_ef_per_ev_cell": 4.642, "density_g_cm3": 10.37, "magnetic_moment_mub_per_cell": 0.397, "final_energy_ev_per_atom": -6.964, "vol_a3_per_cell": 62.3, "lattice": [[2.6829, 0.0000, 0.0000], [0.0000, 4.6300, 0.0000], [-1.3415, -2.3150, 5.0185]], "species": ["Co", "Sr", "W", "Co"], "fractional_positions": [[0.2872, 0.7872, 0.5744], [0.5068, 0.5068, 0.0135], [0.7135, 0.2135, 0.4270], [0.9925, 0.9925, 0.9851]]}

2.
{"formula": "SrCo2W", "functional": "PBEsol", "state": "relaxed", "dos_ef_per_ev_cell": 5.154, "density_g_cm3": 10.59, "magnetic_moment_mub_per_cell": 0.216, "final_energy_ev_per_atom": -6.982, "vol_a3_per_cell": 61.1, "lattice": [[-1.2734, 1.7240, 1.7245], [-3.0530, 1.1459, -3.3998], [-2.8495, -3.4882, 1.3831]], "species": ["Sr", "W", "Co", "Co"], "fractional_positions": [[0.5000, 0.5000, 0.0000], [0.5000, 0.0000, 0.5000], [0.0000, 0.5000, 0.5000], [0.0000, 0.0000, 0.0000]]}

3.
{"formula": "SrYCo", "functional": "PBEsol", "state": "relaxed", "dos_ef_per_ev_cell": 3.552, "density_g_cm3": 5.27, "magnetic_moment_mub_per_cell": 0.002, "final_energy_ev_per_atom": -4.198, "vol_a3_per_cell": 74.2, "lattice": [[-2.2813, -2.8834, 2.9559], [1.6720, -4.3329, 0.8284], [1.8791, -1.0400, 4.2003]], "species": ["Co", "Y", "Sr"], "fractional_positions": [[0.5000, 0.5000, 0.5000], [0.0000, 0.0000, 0.0000], [0.7500, 0.7500, 0.7500]]}

4.
{"formula": "SrY4Co", "functional": "PBEsol", "state": "relaxed", "dos_ef_per_ev_cell": 14.050, "density_g_cm3": 4.50, "magnetic_moment_mub_per_cell": 1.860, "final_energy_ev_per_atom": -5.344, "vol_a3_per_cell": 185.3, "lattice": [[6.3989, 0.0000, 0.0000], [3.1995, 5.5417, 0.0000], [3.1995, 1.8472, 5.2247]], "species": ["Y", "Y", "Y", "Sr", "Co", "Y"], "fractional_positions": [[0.3767, 0.8698, 0.3767], [0.3767, 0.3767, 0.3767], [0.8698, 0.3767, 0.3767], [0.0000, 0.0000, 0.0000], [0.7500, 0.7500, 0.7500], [0.3767, 0.3767, 0.8698]]}

5.
{"formula": "SrZnCo", "functional": "PBEsol", "state": "relaxed", "dos_ef_per_ev_cell": 2.606, "density_g_cm3": 6.03, "magnetic_moment_mub_per_cell": 0.829, "final_energy_ev_per_atom": -3.479, "vol_a3_per_cell": 58.4, "lattice": [[-0.7125, -2.9432, -1.4219], [1.2057, -1.5894, 2.6857], [-4.9856, 2.3593, 1.5504]], "species": ["Sr", "Zn", "Co"], "fractional_positions": [[0.3358, 0.3358, 0.6717], [0.6145, 0.6145, 0.2290], [0.0497, 0.0497, 0.0994]]}

6.
{"formula": "Sr2ZnCo", "functional": "PBEsol", "state": "relaxed", "dos_ef_per_ev_cell": 3.652, "density_g_cm3": 4.84, "magnetic_moment_mub_per_cell": 0.947, "final_energy_ev_per_atom": -3.021, "vol_a3_per_cell": 102.7, "lattice": [[3.4724, 0.0000, 0.0000], [0.0000, 3.4724, 0.0000], [0.0000, 0.0000, 8.5204]], "species": ["Co", "Sr", "Sr", "Zn"], "fractional_positions": [[0.5000, 0.5000, 0.6654], [0.0000, 0.0000, 0.9189], [0.5000, 0.5000, 0.3339], [0.0000, 0.0000, 0.5817]]}

7.
{"formula": "Sr2ZnCo", "functional": "PBEsol", "state": "relaxed", "dos_ef_per_ev_cell": 8.110, "density_g_cm3": 4.96, "magnetic_moment_mub_per_cell": 0.808, "final_energy_ev_per_atom": -2.906, "vol_a3_per_cell": 100.3, "lattice": [[-0.2969, -3.5035, 1.2164], [4.8440, 0.2341, 1.8564], [-1.8195, 1.7321, 4.5447]], "species": ["Sr", "Zn", "Co", "Sr"], "fractional_positions": [[0.0000, 0.0000, 0.5000], [0.5000, 0.0000, 0.0000], [0.5000, 0.5000, 0.5000], [0.0000, 0.5000, 0.0000]]}

8.
{"formula": "SrZrCo", "functional": "PBEsol", "state": "relaxed", "dos_ef_per_ev_cell": 3.098, "density_g_cm3": 5.19, "magnetic_moment_mub_per_cell": 0.001, "final_energy_ev_per_atom": -5.842, "vol_a3_per_cell": 76.1, "lattice": [[-0.3104, 2.8029, 2.9082], [-3.3350, -1.7559, -1.4850], [0.3560, -3.8305, 3.7298]], "species": ["Sr", "Co", "Zr"], "fractional_positions": [[0.6667, 0.3333, 0.6810], [0.0000, 0.0000, 0.1385], [0.3333, 0.6667, 0.1805]]}